## K7NbS6O24 (SCAN)

Data for a PBEsol-optimized structure of K7NbS6O24.

Cell: 9.3149 9.3149 9.3149 Å, 109.51 109.51 109.51°
With the nearest neighbours (Å) after each atom.
Atoms (fractional coordinates):
O 0.0240 0.1068 0.2360  1 S 1.56
O 0.4699 0.7842 0.6428  1 S 1.47
O 0.0150 0.6376 0.6866  1 S 1.46
K 0.8370 0.3358 0.6786  6 O 2.67-2.88
O 0.3624 0.3134 0.9850  1 S 1.46
S 0.9674 0.7429 0.6149  4 O 1.46-1.56
K 0.3358 0.6786 0.8370  6 O 2.67-2.88
O 0.9760 0.8932 0.7640  1 S 1.56
O 0.8321 0.5691 0.0915  1 S 1.46
K 0.1630 0.6642 0.3214  6 O 2.67-2.88
O 0.3572 0.5301 0.2158  1 S 1.47
K 0.5000 0.5000 0.5000  6 O 2.69
O 0.9085 0.1679 0.4309  1 S 1.46
O 0.7640 0.9760 0.8932  1 S 1.56
O 0.6428 0.4699 0.7842  1 S 1.47
O 0.2158 0.3572 0.5301  1 S 1.47
O 0.2360 0.0240 0.1068  1 S 1.56
K 0.6786 0.8370 0.3358  6 O 2.67-2.88
O 0.3134 0.9850 0.3624  1 S 1.46
O 0.9850 0.3624 0.3134  1 S 1.46
O 0.8932 0.7640 0.9760  1 S 1.56
Nb 0.0000 0.0000 0.0000  6 O 1.98
S 0.3851 0.0326 0.2571  4 O 1.46-1.56
S 0.7429 0.6149 0.9674  4 O 1.46-1.56
O 0.1068 0.2360 0.0240  1 S 1.56
K 0.3214 0.1630 0.6642  6 O 2.67-2.88
S 0.6149 0.9674 0.7429  4 O 1.46-1.56
O 0.6866 0.0150 0.6376  1 S 1.46
O 0.1679 0.4309 0.9085  1 S 1.46
O 0.0915 0.8321 0.5691  1 S 1.46
O 0.5691 0.0915 0.8321  1 S 1.46
O 0.7842 0.6428 0.4699  1 S 1.47
K 0.6642 0.3214 0.1630  6 O 2.67-2.88
O 0.6376 0.6866 0.0150  1 S 1.46
S 0.0326 0.2571 0.3851  4 O 1.46-1.56
O 0.5301 0.2158 0.3572  1 S 1.47
S 0.2571 0.3851 0.0326  4 O 1.46-1.56
O 0.4309 0.9085 0.1679  1 S 1.46

SG: R-3 (148)
Formation energy from raw total energies: -2.033 eV per atom
Magnetic moment: 0.394 μB/cell